[1]
DFT (PBE) results for a relaxed structure of TbPr5YTm2.

Geometry as CIF:
```
data_TbPr5YTm2
_space_group_name_H-M_alt 'C m c 21'
_space_group_IT_number 36
_space_group_name_Hall 'C 2c -2'
_cell_length_a 5.640
_cell_length_b 20.733
_cell_length_c 10.731
_cell_angle_alpha 90.00
_cell_angle_beta 90.00
_cell_angle_gamma 90.00
loop_
_atom_site_label
_atom_site_type_symbol
_atom_site_fract_x
_atom_site_fract_y
_atom_site_fract_z
Tb1 Tb 0.000 0.200 0.000
Pr1 Pr 0.000 0.013 0.997
Pr2 Pr 0.000 0.278 0.697
Pr3 Pr 0.000 0.295 0.304
Pr4 Pr 0.000 0.383 0.992
Pr5 Pr 0.000 0.486 0.266
Y1 Y 0.000 0.405 0.543
Tm1 Tm 0.000 0.114 0.270
Tm2 Tm 0.000 0.114 0.711
```

ρ: 6830 kg/m3
total magnetization: 0.00 μB/f.u.
electronic total energy: -4.734 eV per atom
D(E_F): 60.1 states/eV per cell

[2]
DFT (PBE) results for a relaxed structure of BaAsPb.

Geometry as CIF:
```
data_BaAsPb
_space_group_name_H-M_alt 'F -4 3 m'
_space_group_IT_number 216
_space_group_name_Hall 'F -4 2 3'
_cell_length_a 7.613
_cell_length_b 7.613
_cell_length_c 7.613
_cell_angle_alpha 90.00
_cell_angle_beta 90.00
_cell_angle_gamma 90.00
loop_
_atom_site_label
_atom_site_type_symbol
_atom_site_fract_x
_atom_site_fract_y
_atom_site_fract_z
Ba1 Ba 0.000 0.000 0.000
As1 As 0.250 0.250 0.250
Pb1 Pb 0.000 0.000 0.500
```

ρ: 6313 kg/m3
total magnetization: 0.00 μB/f.u.
ΔE to the lowest computed polymorph: 19.4 kJ per mole of atoms
D(E_F): 7.7 states/eV per cell

[3]
DFT (PBE) results for a relaxed structure of Mg3PtW.

Geometry as CIF:
```
data_Mg3PtW
_space_group_name_H-M_alt 'P m -3 m'
_space_group_IT_number 221
_space_group_name_Hall '-P 4 2 3'
_cell_length_a 4.910
_cell_length_b 4.910
_cell_length_c 4.910
_cell_angle_alpha 90.00
_cell_angle_beta 90.00
_cell_angle_gamma 90.00
loop_
_atom_site_label
_atom_site_type_symbol
_atom_site_fract_x
_atom_site_fract_y
_atom_site_fract_z
Mg1 Mg 0.000 0.000 0.500
Pt1 Pt 0.000 0.000 0.000
W1 W 0.500 0.500 0.500
```

ρ: 6337 kg/m3
total magnetization: 3.85 μB/f.u.
ΔE to the lowest computed polymorph: 0.0 kJ per mole of atoms
D(E_F): 3.6 states/eV per cell